Material: Li2Ca5Au5
Method: DFT, PBE
State: relaxed

Structure (extended XYZ):
```
12
Lattice="7.8123 -2.1356 0.0000 7.8123 2.1356 0.0000 -7.2356 0.0000 8.6762" Properties=species:S:1:pos:R:3 pbc="T T T"
Li 0.3483 0.0000 2.2848
Li 8.0407 0.0000 6.3914
Ca 3.4493 0.0000 1.5149
Ca 2.0423 0.0000 5.0686
Ca 7.8123 0.0000 0.0000
Ca 6.3467 0.0000 3.6075
Ca 4.9398 0.0000 7.1613
Au -3.6178 0.0000 4.3381
Au -5.1860 0.0000 7.3911
Au -1.0733 0.0000 5.8109
Au 9.4623 0.0000 2.8653
Au 13.5750 0.0000 1.2851
```

The electronic total energy comes out at -37.91 eV for the cell shown. The calculation puts the total moment at 0.00 μB/f.u. The calculated volume is 24.13 A^3/atom. For the calculated density, the calculation gives 6.88 Mg/m³.


Material: BaY2Sb
Method: DFT, PBE
State: relaxed

Structure (extended XYZ):
```
8
Lattice="4.9698 0.0000 0.0000 0.0000 4.9698 0.0000 0.0000 0.0000 10.4919" Properties=species:S:1:pos:R:3 pbc="T T T"
Ba 0.0000 0.0000 0.0000
Ba 2.4849 2.4849 5.2460
Y 0.0000 2.4849 2.6230
Y 0.0000 2.4849 7.8690
Y 2.4849 0.0000 2.6230
Y 2.4849 0.0000 7.8690
Sb 0.0000 0.0000 5.2460
Sb 2.4849 2.4849 0.0000
```

The value obtained for the uncorrected formation energy is -1.0 eV/f.u. The calculation puts the total moment at 0.00 μB/f.u. The calculated volume is 32.39 A^3/atom. For the calculated density, the calculation gives 5.60 Mg/m³.